Record 1
# BeVCu, optimized geometry, DFT GGA-PBE
data_BeVCu
_chemical_formula_sum 'Be2 V2 Cu2'
_cell_length_a 2.5628
_cell_length_b 2.5628
_cell_length_c 10.0817
_cell_angle_alpha 90.00
_cell_angle_beta 90.00
_cell_angle_gamma 90.00
_space_group_name_H-M_alt 'I 4 m m'
_space_group_IT_number 107
_space_group_name_Hall 'I 4 -2'
loop_
_atom_site_label
_atom_site_fract_x
_atom_site_fract_y
_atom_site_fract_z
Be1 0.0000 0.0000 0.0000
V1 0.0000 0.0000 0.6614
Cu1 0.0000 0.0000 0.3591
# energy of formation from the pure elements: -0.06 eV per atom
# DFT total energy: -34.3 eV per cell
# relative energy among the computed polymorphs: 0 meV/atom
# density of states at the Fermi level: 2.14 states/eV/cell

Record 2
# BeVCu, optimized geometry, DFT GGA-PBE
data_BeVCu
_chemical_formula_sum 'Be2 V2 Cu2'
_cell_length_a 2.4851
_cell_length_b 3.5753
_cell_length_c 7.6665
_cell_angle_alpha 90.00
_cell_angle_beta 93.36
_cell_angle_gamma 90.00
_space_group_name_H-M_alt 'P 1 2/m 1'
_space_group_IT_number 10
_space_group_name_Hall '-P 2y'
loop_
_atom_site_label
_atom_site_fract_x
_atom_site_fract_y
_atom_site_fract_z
Be1 0.0000 0.0000 0.0000
Be2 0.5000 0.5000 0.5000
V1 0.0073 0.0000 0.3414
Cu1 0.4799 0.5000 0.1569
# energy of formation from the pure elements: 0.05 eV per atom
# DFT total energy: -33.6 eV per cell
# relative energy among the computed polymorphs: 113 meV/atom
# density of states at the Fermi level: 3.82 states/eV/cell

Record 3
# BeVCu, optimized geometry, DFT GGA-PBE
data_BeVCu
_chemical_formula_sum 'Be4 V4 Cu4'
_cell_length_a 5.5039
_cell_length_b 5.5039
_cell_length_c 5.5039
_cell_angle_alpha 90.00
_cell_angle_beta 90.00
_cell_angle_gamma 90.00
_space_group_name_H-M_alt 'F -4 3 m'
_space_group_IT_number 216
_space_group_name_Hall 'F -4 2 3'
loop_
_atom_site_label
_atom_site_fract_x
_atom_site_fract_y
_atom_site_fract_z
Be1 0.0000 0.0000 0.0000
V1 0.2500 0.2500 0.7500
Cu1 0.0000 0.0000 0.5000
# energy of formation from the pure elements: 0.87 eV per atom
# DFT total energy: -57.3 eV per cell
# relative energy among the computed polymorphs: 933 meV/atom
# density of states at the Fermi level: 5.49 states/eV/cell